The following is a DFT calculation (PBEsol) of crystalline Li2Cr3TeO8 at its relaxed geometry.

a = 5.8547 Å, b = 5.8547 Å, c = 9.7559 Å
α = 90.00°, β = 90.00°, γ = 120.00°
Last column: nearest neighbours and their distance in Å.
Space group P6_3mc (No. 186)
Symmetry-distinct sites (fractional):
Li (0.0000, 0.0000, 0.0000)  4 O 1.80-1.91
Li (0.3333, 0.6667, 0.0917)  4 O 1.96-2.03
Cr (0.1703, 0.3406, 0.7756)  6 O 1.94-2.01
Te (0.3333, 0.6667, 0.4968)  6 O 2.07-2.24
O (0.0000, 0.0000, 0.1841)  1 Li 1.80, 3 Cr 1.94
O (0.0287, 0.5144, 0.6635)  2 Cr 1.94, 1 Li 1.96
O (0.1567, 0.3134, 0.3908)  1 Li 1.91, 2 Cr 2.01, 1 Te 2.07
O (0.3333, 0.6667, 0.8832)  3 Cr 1.96, 1 Li 2.03

Calculated values
VASP energy = -7.5353 eV per atom
Formation energy without anion corrections = -1.81 eV/atom
Magnetization = 0.57 μB/atom